No. 1
Entry from the Alexandria database: crystalline Ta2Os2Au at its relaxed geometry (PBE-GGA).

## Properties
Energy relative to the lowest polymorph listed for this composition (eV per atom): 0.0000
Formation energy (eV per atom): -0.079
Raw total energy (eV/cell): -99.68
Volume (Å³/atom): 17.27

```
data_Ta2Os2Au
_chemical_formula_sum 'Ta4 Os4 Au2'
_cell_length_a 7.539
_cell_length_b 7.539
_cell_length_c 3.038
_cell_angle_alpha 90.00
_cell_angle_beta 90.00
_cell_angle_gamma 90.00
_symmetry_space_group_name_H-M 'P 4/m b m'
_symmetry_Int_Tables_number 127
_symmetry_space_group_name_Hall '-P 4 2ab'
loop_
_atom_site_label
_atom_site_fract_x
_atom_site_fract_y
_atom_site_fract_z
Ta1 0.157 0.343 0.000
Os1 0.139 0.639 0.500
Au1 0.000 0.000 0.500
```

***

No. 2
Entry from the Alexandria database: crystalline VCu5Cl12 at its relaxed geometry (PBE-GGA).

## Properties
E_form (uncorrected) (meV per atom): -655
Raw total energy (eV/cell): -127.11
Volume (Å³/atom): 27.06

```
data_VCu5Cl12
_chemical_formula_sum 'V2 Cu10 Cl24'
_cell_length_a 7.836
_cell_length_b 9.797
_cell_length_c 12.849
_cell_angle_alpha 90.00
_cell_angle_beta 99.00
_cell_angle_gamma 90.00
_symmetry_space_group_name_H-M 'C 1 2/m 1'
_symmetry_Int_Tables_number 12
_symmetry_space_group_name_Hall '-C 2y'
loop_
_atom_site_label
_atom_site_fract_x
_atom_site_fract_y
_atom_site_fract_z
V1 0.000 0.000 0.000
Cu1 0.000 0.167 0.500
Cu2 0.000 0.314 0.000
Cu3 0.000 0.500 0.500
Cl1 0.034 0.166 0.135
Cl2 0.126 0.333 0.608
Cl3 0.130 0.000 0.607
Cl4 0.197 0.500 0.999
```

***

No. 3
Entry from the Alexandria database: crystalline FeHI2 at its relaxed geometry (PBE-GGA).

## Properties
Raw total energy (eV/cell): -49.79
Volume (Å³/atom): 22.39

```
data_FeHI2
_chemical_formula_sum 'Fe4 H4 I8'
_cell_length_a 5.656
_cell_length_b 5.656
_cell_length_c 11.200
_cell_angle_alpha 90.00
_cell_angle_beta 90.00
_cell_angle_gamma 90.00
_symmetry_space_group_name_H-M 'I -4 2 d'
_symmetry_Int_Tables_number 122
_symmetry_space_group_name_Hall 'I -4 2bw'
loop_
_atom_site_label
_atom_site_fract_x
_atom_site_fract_y
_atom_site_fract_z
Fe1 0.000 0.000 0.000
H1 0.000 0.000 0.500
I1 0.246 0.250 0.625
```

***

No. 4
Entry from the Alexandria database: crystalline ZrTi4N2 at its relaxed geometry (PBE-GGA).

## Properties
E_form (uncorrected) (meV per atom): -1046
Raw total energy (eV/cell): -192.30
Volume (Å³/atom): 14.06

```
data_ZrTi4N2
_chemical_formula_sum 'Zr3 Ti12 N6'
_cell_length_a 3.0184
_cell_length_b 3.0184
_cell_length_c 37.4183
_cell_angle_alpha 90.00
_cell_angle_beta 90.00
_cell_angle_gamma 120.00
_symmetry_space_group_name_H-M 'R -3 m'
_symmetry_Int_Tables_number 166
_symmetry_space_group_name_Hall '-R 3 2"'
loop_
_atom_site_label
_atom_site_fract_x
_atom_site_fract_y
_atom_site_fract_z
Zr1 0.0000 0.0000 0.0000
Ti1 0.0000 0.0000 0.1338
Ti2 0.0000 0.0000 0.4055
N1 0.0000 0.0000 0.2312
```

***

No. 5
Entry from the Alexandria database: crystalline CdCuAgCl5 at its relaxed geometry (PBE-GGA).

## Properties
E_form (uncorrected) (meV per atom): -641
Raw total energy (eV/cell): -88.88
Volume (Å³/atom): 25.50

```
data_CdCuAgCl5
_chemical_formula_sum 'Cd4 Cu4 Ag4 Cl20'
_cell_length_a 8.193
_cell_length_b 11.140
_cell_length_c 9.658
_cell_angle_alpha 90.00
_cell_angle_beta 112.24
_cell_angle_gamma 90.00
_symmetry_space_group_name_H-M 'C 1 2/c 1'
_symmetry_Int_Tables_number 15
_symmetry_space_group_name_Hall '-C 2yc'
loop_
_atom_site_label
_atom_site_fract_x
_atom_site_fract_y
_atom_site_fract_z
Cd1 0.250 0.250 0.000
Cu1 0.000 0.076 0.250
Ag1 0.000 0.416 0.250
Cl1 0.000 0.352 0.750
Cl2 0.032 0.213 0.431
Cl3 0.234 0.049 0.856
```

***

No. 6
Entry from the Alexandria database: crystalline Sm2TlHg2 at its relaxed geometry (PBE-GGA).

## Properties
Energy relative to the lowest polymorph listed for this composition (eV per atom): 0.0000
Formation energy (eV per atom): -0.394
Raw total energy (eV/cell): -28.76
Volume (Å³/atom): 27.73

```
data_Sm2TlHg2
_chemical_formula_sum 'Sm4 Tl2 Hg4'
_cell_length_a 8.325
_cell_length_b 8.325
_cell_length_c 4.002
_cell_angle_alpha 90.00
_cell_angle_beta 90.00
_cell_angle_gamma 90.00
_symmetry_space_group_name_H-M 'P 4/m b m'
_symmetry_Int_Tables_number 127
_symmetry_space_group_name_Hall '-P 4 2ab'
loop_
_atom_site_label
_atom_site_fract_x
_atom_site_fract_y
_atom_site_fract_z
Sm1 0.172 0.328 0.000
Tl1 0.000 0.000 0.500
Hg1 0.127 0.627 0.500
```

***

Among the records above, which one has the highest raw total energy? Sm2TlHg2

***

Among the records above, which one has the highest volume? Sm2TlHg2